Arrangement w

LiCCl2 | PBE | relaxed

- V (Å³ per atom) = 20.6

a = 5.043 Å, b = 5.043 Å, c = 12.933 Å
α = 90.00°, β = 90.00°, γ = 90.00°
Space group I-42d (No. 122)
One atom of each set of equivalent atoms:
1 Li 0.000 0.000 0.000
2 C 0.000 0.000 0.500
3 Cl 0.222 0.250 0.625



Arrangement x

LiCCl2 | PBE | relaxed

- V (Å³ per atom) = 20.9

a = 3.6699 Å, b = 3.6699 Å, c = 21.5067 Å
α = 90.00°, β = 90.00°, γ = 120.00°
Space group R-3m (No. 166, hexagonal axes)
One atom of each set of equivalent atoms:
1 Li 0.0000 0.0000 0.0000
2 C 0.0000 0.0000 0.5000
3 Cl 0.0000 0.0000 0.3994



Which structure is the most stable? The one labeled arrangement w.



Arrangement w

LiC2Cl | PBE | relaxed

- V (Å³ per atom) = 11.2

a = 5.113 Å, b = 5.113 Å, c = 6.852 Å
α = 90.00°, β = 90.00°, γ = 90.00°
Space group I-42d (No. 122)
One atom of each set of equivalent atoms:
1 Li 0.000 0.000 0.000
2 C 0.192 0.250 0.625
3 Cl 0.000 0.000 0.500



Arrangement x

LiC2Cl | PBE | relaxed

- V (Å³ per atom) = 11.5

a = 5.692 Å, b = 5.692 Å, c = 5.692 Å
α = 90.00°, β = 90.00°, γ = 90.00°
Space group Fm-3m (No. 225)
One atom of each set of equivalent atoms:
1 Li 0.000 0.000 0.000
2 C 0.250 0.250 0.250
3 Cl 0.000 0.000 0.500



Which structure is the most stable? The one labeled arrangement w.



Arrangement w

LiP2CCl | PBE | relaxed

- V (Å³ per atom) = 22.8

a = 3.724 Å, b = 3.724 Å, c = 8.202 Å
α = 90.00°, β = 90.00°, γ = 90.00°
Space group P4/mmm (No. 123)
One atom of each set of equivalent atoms:
1 Li 0.000 0.000 0.000
2 P 0.000 0.500 0.500
3 C 0.500 0.500 0.500
4 Cl 0.500 0.500 0.000



Arrangement x

LiP2CCl | PBE | relaxed

- V (Å³ per atom) = 17.0

a = 4.412 Å, b = 4.412 Å, c = 4.369 Å
α = 90.00°, β = 90.00°, γ = 90.00°
Space group P4/mmm (No. 123)
One atom of each set of equivalent atoms:
1 Li 0.000 0.000 0.000
2 P 0.000 0.500 0.000
3 C 0.500 0.500 0.500
4 Cl 0.000 0.000 0.500



Which structure is the most stable? The one labeled arrangement w.